Entry from the Alexandria database: a geometry-optimized Mg4ZnNi structure (PBE).

As for the volume: 116.85 Å³ per cell. The value obtained for the energy of formation from the pure elements is 0.353 eV/atom. The space group is F-43m, No. 216.

Geometry as POSCAR:
```
Mg4ZnNi
1.0
0.000 3.880 3.880
3.880 0.000 3.880
3.880 3.880 0.000
Mg Zn Ni
4 1 1
Direct
0.125 0.125 0.125
0.125 0.125 0.626
0.125 0.626 0.125
0.626 0.125 0.125
0.500 0.500 0.500
0.750 0.750 0.750
```

=====

Entry from the Alexandria database: a geometry-optimized La2PmEr5 structure (PBE).

As for the volume: 522.43 Å³ per cell. The value obtained for the energy of formation from the pure elements is 0.033 eV/atom. The space group is Pbam, No. 55.

Geometry as POSCAR:
```
La2PmEr5
1.0
7.149 0.000 0.000
0.000 14.311 0.000
0.000 0.000 5.107
La Pm Er
4 2 10
Direct
0.245 0.126 0.000
0.255 0.626 0.000
0.745 0.374 0.000
0.755 0.874 0.000
0.000 0.500 0.500
0.500 0.000 0.500
0.000 0.000 0.500
0.006 0.751 0.500
0.245 0.375 0.000
0.255 0.875 0.000
0.494 0.251 0.500
0.500 0.500 0.500
0.505 0.749 0.500
0.745 0.125 0.000
0.755 0.625 0.000
0.994 0.249 0.500
```

=====

Entry from the Alexandria database: a geometry-optimized LaMgGa2Au4 structure (PBE).

As for the volume: 162.64 Å³ per cell. The value obtained for the energy of formation from the pure elements is -0.550 eV/atom. The space group is R-3m, No. 166.

Geometry as POSCAR:
```
LaMgGa2Au4
1.0
2.290 1.322 8.951
-2.290 1.322 8.951
0.000 -2.645 8.951
La Mg Ga Au
1 1 2 4
Direct
0.000 0.000 0.000
0.500 0.500 0.500
0.244 0.244 0.244
0.756 0.756 0.756
0.135 0.135 0.135
0.397 0.397 0.397
0.603 0.603 0.603
0.865 0.865 0.865
```

=====

Entry from the Alexandria database: a geometry-optimized CaErMgAg structure (PBE).

As for the volume: 104.17 Å³ per cell. The value obtained for the energy of formation from the pure elements is -0.128 eV/atom. The space group is F-43m, No. 216.

Geometry as POSCAR:
```
CaErMgAg
1.0
0.000 3.734 3.734
3.734 0.000 3.734
3.734 3.734 0.000
Ca Er Mg Ag
1 1 1 1
Direct
0.000 0.000 0.000
0.500 0.500 0.500
0.750 0.750 0.750
0.250 0.250 0.250
```

=====

Entry from the Alexandria database: a geometry-optimized RbAgPO2 structure (PBE).

As for the volume: 97.33 Å³ per cell. Its total energy is -0.1268 Ha/atom. The space group is P4/mmm, No. 123.

Geometry as POSCAR:
```
RbAgPO2
1.0
4.501 0.000 0.000
0.000 4.501 0.000
0.000 0.000 4.804
Rb Ag P O
1 1 1 2
Direct
0.000 0.000 0.000
0.500 0.500 0.500
0.500 0.500 0.000
0.000 0.500 0.500
0.500 0.000 0.500
```

=====

Entry from the Alexandria database: a geometry-optimized NiW2C structure (PBE).

As for the volume: 50.95 Å³ per cell. The value obtained for the energy of formation from the pure elements is 0.208 eV/atom. The space group is R-3m, No. 166.

Geometry as POSCAR:
```
NiW2C
1.0
1.513 0.874 6.423
-1.513 0.874 6.423
0.000 -1.747 6.423
Ni W C
1 2 1
Direct
0.000 0.000 0.000
0.228 0.228 0.228
0.772 0.772 0.772
0.500 0.500 0.500
```

=====

Entry from the Alexandria database: a geometry-optimized CaZrSc structure (PBE).

As for the volume: 83.24 Å³ per cell. The value obtained for the energy of formation from the pure elements is 0.189 eV/atom. The space group is P3m1, No. 156.

Geometry as POSCAR:
```
CaZrSc
1.0
3.360 0.000 0.000
-1.680 2.910 0.000
0.000 0.000 8.515
Ca Zr Sc
1 1 1
Direct
0.000 0.000 0.000
0.667 0.333 0.654
0.333 0.667 0.368
```

=====

Entry from the Alexandria database: a geometry-optimized Sm12Tm3Zn5 structure (PBE).

As for the volume: 2850.67 Å³ per cell. The value obtained for the energy of formation from the pure elements is 0.478 eV/atom. The space group is Ia-3d, No. 230.

Geometry as POSCAR:
```
Sm12Tm3Zn5
1.0
-8.932 8.932 8.932
8.932 -8.932 8.932
8.932 8.932 -8.932
Sm Tm Zn
48 12 20
Direct
0.043 0.212 0.119
0.043 0.330 0.924
0.076 0.619 0.407
0.076 0.957 0.670
0.093 0.712 0.670
0.093 0.881 0.424
0.119 0.043 0.212
0.119 0.576 0.907
0.170 0.212 0.593
0.170 0.457 0.576
0.212 0.119 0.043
0.212 0.593 0.170
0.288 0.330 0.907
0.288 0.457 0.381
0.330 0.907 0.288
0.330 0.924 0.043
0.381 0.288 0.457
0.381 0.593 0.924
0.407 0.076 0.619
0.407 0.830 0.788
0.424 0.093 0.881
0.424 0.830 0.543
0.457 0.381 0.288
0.457 0.576 0.170
0.543 0.424 0.830
0.543 0.619 0.712
0.576 0.170 0.457
0.576 0.907 0.119
0.593 0.170 0.212
0.593 0.924 0.381
0.619 0.407 0.076
0.619 0.712 0.543
0.670 0.076 0.957
0.670 0.093 0.712
0.712 0.543 0.619
0.712 0.670 0.093
0.788 0.407 0.830
0.788 0.881 0.957
0.830 0.543 0.424
0.830 0.788 0.407
0.881 0.424 0.093
0.881 0.957 0.788
0.907 0.119 0.576
0.907 0.288 0.330
0.924 0.043 0.330
0.924 0.381 0.593
0.957 0.670 0.076
0.957 0.788 0.881
0.125 0.250 0.375
0.125 0.375 0.750
0.250 0.375 0.125
0.250 0.875 0.625
0.375 0.125 0.250
0.375 0.750 0.125
0.625 0.250 0.875
0.625 0.875 0.750
0.750 0.125 0.375
0.750 0.625 0.875
0.875 0.625 0.250
0.875 0.750 0.625
0.000 0.000 0.000
0.000 0.000 0.500
0.000 0.500 0.000
0.000 0.500 0.500
0.125 0.750 0.875
0.125 0.875 0.250
0.250 0.125 0.875
0.250 0.625 0.375
0.375 0.250 0.625
0.375 0.625 0.750
0.500 0.000 0.000
0.500 0.000 0.500
0.500 0.500 0.000
0.500 0.500 0.500
0.625 0.375 0.250
0.625 0.750 0.375
0.750 0.375 0.625
0.750 0.875 0.125
0.875 0.125 0.750
0.875 0.250 0.125
```